[1]
This record from the Alexandria database describes MoPtPb3 after structural relaxation. The functional is PBE-GGA.

## Properties
Density   10.0 g cm⁻³
Symmetry   Pm-3m (221)
Final energy   -4.696 eV/atom
Excess energy over the best structure of this formula in the dataset   0.0 kJ per mole of atoms

a b c (Å): 5.3308 5.3308 5.3308
angles (deg): 90.00 90.00 90.00
Element x y z (fractional)
Mo1 0.0000 0.0000 0.0000
Pt1 0.5000 0.5000 0.5000
Pb1 0.0000 0.0000 0.5000
Pb2 0.0000 0.5000 0.0000
Pb3 0.5000 0.0000 0.0000

[2]
This record from the Alexandria database describes Ca2Cd2Te after structural relaxation. The functional is PBE-GGA.

## Properties
Density   4.4 g cm⁻³
Symmetry   P4/mbm (127)
Final energy   -2.285 eV/atom
Excess energy over the best structure of this formula in the dataset   0.0 kJ per mole of atoms
Formation energy without anion corrections   -0.490 eV/atom

a b c (Å): 8.2668 8.2668 4.7901
angles (deg): 90.00 90.00 90.00
Element x y z (fractional)
Ca1 0.1737 0.3263 0.0000
Ca2 0.3263 0.8263 0.0000
Ca3 0.6737 0.1737 0.0000
Ca4 0.8263 0.6737 0.0000
Cd1 0.1283 0.6283 0.5000
Cd2 0.3717 0.1283 0.5000
Cd3 0.6283 0.8717 0.5000
Cd4 0.8717 0.3717 0.5000
Te1 0.0000 0.0000 0.0000
Te2 0.5000 0.5000 0.0000

[3]
This record from the Alexandria database describes NiHPd2Pb after structural relaxation. The functional is PBE-GGA.

## Properties
Density   11.8 g cm⁻³
Symmetry   P4/mmm (123)
Final energy   -4.734 eV/atom

a b c (Å): 4.0765 4.0765 4.0677
angles (deg): 90.00 90.00 90.00
Element x y z (fractional)
Ni1 0.0000 0.0000 0.0000
H1 0.0000 0.0000 0.5000
Pd1 0.0000 0.5000 0.5000
Pd2 0.5000 0.0000 0.5000
Pb1 0.5000 0.5000 0.0000

[4]
This record from the Alexandria database describes Sm3TeCS after structural relaxation. The functional is PBE-GGA.

## Properties
Density   6.4 g cm⁻³
Symmetry   P2_1/m (11)
Final energy   -6.096 eV/atom
Formation energy without anion corrections   -0.988 eV/atom

a b c (Å): 8.2088 3.8723 10.5720
angles (deg): 90.00 104.98 90.00
Element x y z (fractional)
Sm1 0.0091 0.2500 0.3591
Sm2 0.3162 0.2500 0.0474
Sm3 0.3647 0.7500 0.6036
Sm4 0.6353 0.2500 0.3964
Sm5 0.6838 0.7500 0.9526
Sm6 0.9909 0.7500 0.6409
Te1 0.3006 0.7500 0.2840
Te2 0.6994 0.2500 0.7160
C1 0.1687 0.2500 0.5805
C2 0.8313 0.7500 0.4195
S1 0.3369 0.7500 0.8701
S2 0.6631 0.2500 0.1299

[5]
This record from the Alexandria database describes Tc2Ni after structural relaxation. The functional is PBE-GGA.

## Properties
Density   10.6 g cm⁻³
Symmetry   Cmcm (63)
Final energy   -8.909 eV/atom
Excess energy over the best structure of this formula in the dataset   0.0 kJ per mole of atoms

a b c (Å): 4.6522 4.6522 4.2656
angles (deg): 90.00 90.00 60.04
Element x y z (fractional)
Tc1 0.0035 0.6731 0.7500
Tc2 0.3269 0.9965 0.7500
Tc3 0.6731 0.0035 0.2500
Tc4 0.9965 0.3269 0.2500
Ni1 0.3462 0.6538 0.2500
Ni2 0.6538 0.3462 0.7500

[6]
This record from the Alexandria database describes CePt3 after structural relaxation. The functional is PBE-GGA.

## Properties
Density   16.6 g cm⁻³
Symmetry   Pm-3m (221)
Final energy   -7.000 eV/atom

a b c (Å): 4.1703 4.1703 4.1703
angles (deg): 90.00 90.00 90.00
Element x y z (fractional)
Ce1 0.0000 0.0000 0.0000
Pt1 0.0000 0.5000 0.5000
Pt2 0.5000 0.0000 0.5000
Pt3 0.5000 0.5000 0.0000

[7]
This record from the Alexandria database describes Li2W after structural relaxation. The functional is PBE-GGA.

## Properties
Density   9.0 g cm⁻³
Symmetry   P6/mmm (191)
Final energy   -4.522 eV/atom
Excess energy over the best structure of this formula in the dataset   66.4 kJ per mole of atoms

a b c (Å): 3.0204 3.0204 4.6268
angles (deg): 90.00 90.00 120.00
Element x y z (fractional)
Li1 0.3333 0.6667 0.0000
Li2 0.6667 0.3333 0.0000
W1 0.0000 0.0000 0.5000

[8]
This record from the Alexandria database describes Pm2Nd6SmTm after structural relaxation. The functional is PBE-GGA.

## Properties
Density   7.1 g cm⁻³
Symmetry   C2/c (15)
Final energy   -4.617 eV/atom

a b c (Å): 8.9960 8.9960 9.8078
angles (deg): 94.10 94.10 117.96
Element x y z (fractional)
Pm1 0.1988 0.2989 0.0438
Pm2 0.2989 0.1988 0.5438
Pm3 0.7011 0.8012 0.4562
Pm4 0.8012 0.7011 0.9562
Nd1 0.0119 0.5695 0.1895
Nd2 0.1210 0.7539 0.5544
Nd3 0.2461 0.8790 0.9456
Nd4 0.2929 0.5052 0.3817
Nd5 0.4305 0.9881 0.3105
Nd6 0.4948 0.7071 0.1183
Nd7 0.5052 0.2929 0.8817
Nd8 0.5695 0.0119 0.6895
Nd9 0.7071 0.4948 0.6183
Nd10 0.7539 0.1210 0.0544
Nd11 0.8790 0.2461 0.4456
Nd12 0.9881 0.4305 0.8105
Sm1 0.0215 0.9785 0.2500
Sm2 0.9785 0.0215 0.7500
Tm1 0.4099 0.5901 0.7500
Tm2 0.5901 0.4099 0.2500

[9]
This record from the Alexandria database describes NaTaH3 after structural relaxation. The functional is PBE-GGA.

## Properties
Density   7.3 g cm⁻³
Symmetry   Pm-3m (221)
Final energy   -3.732 eV/atom
Excess energy over the best structure of this formula in the dataset   70.6 kJ per mole of atoms

a b c (Å): 3.6146 3.6146 3.6146
angles (deg): 90.00 90.00 90.00
Element x y z (fractional)
Na1 0.0000 0.0000 0.0000
Ta1 0.5000 0.5000 0.5000
H1 0.0000 0.0000 0.5000
H2 0.0000 0.5000 0.0000
H3 0.5000 0.0000 0.0000

[10]
This record from the Alexandria database describes Mn2BeCu after structural relaxation. The functional is PBE-GGA.

## Properties
Density   7.2 g cm⁻³
Symmetry   Cm (8)
Final energy   -6.424 eV/atom

a b c (Å): 4.1159 4.1159 4.4022
angles (deg): 96.83 96.83 34.56
Element x y z (fractional)
Mn1 0.0000 0.0000 0.0000
Mn2 0.2403 0.2403 0.8079
Be1 0.4971 0.4971 0.5163
Cu1 0.7507 0.7507 0.3178

[11]
This record from the Alexandria database describes RbCu3Sb after structural relaxation. The functional is PBE-GGA.

## Properties
Density   4.9 g cm⁻³
Symmetry   Pm-3m (221)
Final energy   -1.823 eV/atom
Excess energy over the best structure of this formula in the dataset   125.4 kJ per mole of atoms
Formation energy without anion corrections   1.652 eV/atom

a b c (Å): 5.1272 5.1272 5.1272
angles (deg): 90.00 90.00 90.00
Element x y z (fractional)
Rb1 0.0000 0.0000 0.0000
Cu1 0.0000 0.0000 0.5000
Cu2 0.0000 0.5000 0.0000
Cu3 0.5000 0.0000 0.0000
Sb1 0.5000 0.5000 0.5000

[12]
This record from the Alexandria database describes Tb3Dy2Ho5 after structural relaxation. The functional is PBE-GGA.

## Properties
Density   8.4 g cm⁻³
Symmetry   C2/c (15)
Final energy   -4.396 eV/atom
Excess energy over the best structure of this formula in the dataset   0.0 kJ per mole of atoms

a b c (Å): 9.4387 9.4387 9.4016
angles (deg): 108.37 108.37 111.75
Element x y z (fractional)
Tb1 0.0165 0.2681 0.0472
Tb2 0.2310 0.7690 0.7500
Tb3 0.2681 0.0165 0.5472
Tb4 0.7319 0.9835 0.4528
Tb5 0.7690 0.2310 0.2500
Tb6 0.9835 0.7319 0.9528
Dy1 0.2239 0.4656 0.4527
Dy2 0.4656 0.2239 0.9527
Dy3 0.5344 0.7761 0.0473
Dy4 0.7761 0.5344 0.5473
Ho1 0.0230 0.9770 0.7500
Ho2 0.1440 0.3845 0.7783
Ho3 0.2739 0.7261 0.2500
Ho4 0.3845 0.1440 0.2783
Ho5 0.4724 0.5276 0.2500
Ho6 0.5276 0.4724 0.7500
Ho7 0.6155 0.8560 0.7217
Ho8 0.7261 0.2739 0.7500
Ho9 0.8560 0.6155 0.2217
Ho10 0.9770 0.0230 0.2500